(1)
Entry from the Alexandria database: an optimized crystal structure of Tb7PmNd3 (GGA-PBE).

The calculated formation energy is 0.18 eV/atom.

The structure belongs to space group P3m1 (No. 156); the cell edges are 7.1240, 7.1240 and 8.7444 Å and the angles 90.00°, 90.00° and 120.00°. Symmetry generates all atoms from Tb at (0.0000, 0.0000, 0.0000), Tb at (0.1658, 0.3315, 0.3234), Tb at (0.5007, 0.0014, 0.9966), Pm at (0.6667, 0.3333, 0.3213) and Nd at (0.3329, 0.1664, 0.6612).


(2)
Entry from the Alexandria database: an optimized crystal structure of AlV2Pd9 (GGA-PBE).

The calculated formation energy is -0.37 eV/atom.

The structure belongs to space group P4/mmm (No. 123); the cell edges are 3.892, 3.892 and 11.731 Å and the angles 90.00°, 90.00° and 90.00°. Symmetry generates all atoms from Al at (0.000, 0.000, 0.000), V at (0.000, 0.000, 0.330), Pd at (0.000, 0.500, 0.170), Pd at (0.000, 0.500, 0.500), Pd at (0.500, 0.500, 0.000) and Pd at (0.500, 0.500, 0.335).


(3)
Entry from the Alexandria database: an optimized crystal structure of Li2TbSn2 (GGA-PBE).

The calculated formation energy is -0.50 eV/atom.

The structure belongs to space group C2/m (No. 12); the cell edges are 7.916, 4.578 and 6.892 Å and the angles 90.00°, 112.44° and 90.00°. Symmetry generates all atoms from Li at (0.188, 0.000, 0.063), Tb at (0.000, 0.000, 0.500) and Sn at (0.077, 0.500, 0.228).


(4)
Entry from the Alexandria database: an optimized crystal structure of Pm2Nd2Dy2In (GGA-PBE).

The calculated formation energy is -0.03 eV/atom.

The structure belongs to space group C2/m (No. 12); the cell edges are 11.790, 3.567 and 11.709 Å and the angles 90.00°, 112.16° and 90.00°. Symmetry generates all atoms from Pm at (0.172, 0.000, 0.085), Nd at (0.032, 0.000, 0.754), Dy at (0.249, 0.000, 0.629) and In at (0.000, 0.500, 0.500).


(5)
Entry from the Alexandria database: an optimized crystal structure of YTm2Bi2 (GGA-PBE).

The calculated formation energy is -0.59 eV/atom.

The structure belongs to space group Cmc2_1 (No. 36); the cell edges are 4.919, 18.119 and 6.620 Å and the angles 90.00°, 90.00° and 90.00°. Symmetry generates all atoms from Y at (0.000, 0.117, 0.000), Tm at (0.000, 0.320, 0.874), Tm at (0.000, 0.487, 0.237), Bi at (0.000, 0.067, 0.474) and Bi at (0.000, 0.289, 0.352).


(6)
Entry from the Alexandria database: an optimized crystal structure of Nd2Er5Th2 (GGA-PBE).

The calculated formation energy is 0.24 eV/atom.

The structure belongs to space group Ima2 (No. 46); the cell edges are 14.893, 11.879 and 6.646 Å and the angles 90.00°, 90.00° and 90.00°. Symmetry generates all atoms from Nd at (0.126, 0.001, 0.000), Er at (0.054, 0.742, 0.842), Er at (0.143, 0.227, 0.647), Er at (0.250, 0.736, 0.645), Th at (0.000, 0.000, 0.539) and Th at (0.250, 0.002, 0.460).


(7)
Entry from the Alexandria database: an optimized crystal structure of Ac2TbPmSe4 (GGA-PBE).

As for the uncorrected formation energy: -14.60 eV per formula unit.

The structure belongs to space group P2/m (No. 10); the cell edges are 7.337, 4.208 and 7.700 Å and the angles 90.00°, 108.34° and 90.00°. Symmetry generates all atoms from Ac at (0.000, 0.000, 0.000), Ac at (0.500, 0.500, 0.000), Tb at (0.000, 0.500, 0.500), Pm at (0.500, 0.000, 0.500), Se at (0.237, 0.000, 0.725) and Se at (0.253, 0.500, 0.272).


(8)
Entry from the Alexandria database: an optimized crystal structure of Ac2Pr3Sm3 (GGA-PBE).

The calculated formation energy is 0.15 eV/atom.

The structure belongs to space group Cmcm (No. 63); the cell edges are 3.844, 17.712 and 18.093 Å and the angles 90.00°, 90.00° and 90.00°. Symmetry generates all atoms from Ac at (0.000, 0.249, 0.104), Pr at (0.000, 0.093, 0.540), Pr at (0.000, 0.121, 0.250), Sm at (0.000, 0.096, 0.750) and Sm at (0.000, 0.455, 0.620).


(9)
Entry from the Alexandria database: an optimized crystal structure of La7Sm5 (GGA-PBE).

The calculated formation energy is 0.13 eV/atom.

The structure belongs to space group C2/m (No. 12); the cell edges are 9.899, 5.983 and 15.042 Å and the angles 90.00°, 104.18° and 90.00°. Symmetry generates all atoms from La at (0.000, 0.000, 0.000), La at (0.040, 0.500, 0.713), La at (0.183, 0.000, 0.585), La at (0.240, 0.500, 0.172), Sm at (0.000, 0.500, 0.500), Sm at (0.120, 0.000, 0.299) and Sm at (0.135, 0.500, 0.939).


(10)
Entry from the Alexandria database: an optimized crystal structure of Nb2HIrOs (GGA-PBE).

The structure belongs to space group P4/mmm (No. 123); the cell edges are 4.146, 4.146 and 3.884 Å and the angles 90.00°, 90.00° and 90.00°. Symmetry generates all atoms from Nb at (0.000, 0.500, 0.000), H at (0.000, 0.000, 0.000), Ir at (0.000, 0.000, 0.500) and Os at (0.500, 0.500, 0.500).


(11)
Entry from the Alexandria database: an optimized crystal structure of Ti2InH (GGA-PBE).

The structure belongs to space group P4/mmm (No. 123); the cell edges are 2.854, 2.854 and 7.112 Å and the angles 90.00°, 90.00° and 90.00°. Symmetry generates all atoms from Ti at (0.000, 0.000, 0.183), In at (0.500, 0.500, 0.500) and H at (0.500, 0.500, 0.000).


(12)
Entry from the Alexandria database: an optimized crystal structure of Be2ZnRh (GGA-PBE).

The calculated formation energy is 0.00 eV/atom.

The structure belongs to space group R-3m (No. 166, hexagonal axes); the cell edges are 2.7036, 2.7036 and 22.9052 Å and the angles 90.00°, 90.00° and 120.00°. Symmetry generates all atoms from Be at (0.0000, 0.0000, 0.2422), Zn at (0.0000, 0.0000, 0.0000) and Rh at (0.0000, 0.0000, 0.5000).


Energy readings, ordered: -4.504, -6.097, -3.792, -4.457, -5.222, -5.004, -5.768, -4.435, -4.708, -8.942, -5.365, -4.020 eV/atom